TcN2Cl: relaxed, PBE.

The value obtained for the uncorrected formation energy is 0.609 eV/atom. The value obtained for the energy above the most stable polymorph in this dataset is 20.7 kJ/mol of atoms.

The space group is R-3m (No. 166, hexagonal axes) and the conventional cell measures 2.9788, 2.9788 and 18.7473 Å, with angles of 90.00, 90.00 and 120.00 degrees. Symmetry generates all atoms from Tc at (0.0000, 0.0000, 0.0000), N at (0.0000, 0.0000, 0.3959) and Cl at (0.0000, 0.0000, 0.5000).


HfCoS2N: relaxed, PBE.

The value obtained for the uncorrected formation energy is -0.076 eV/atom. The value obtained for the energy above the most stable polymorph in this dataset is 0.0 kJ/mol of atoms.

The space group is P4/mmm (No. 123) and the conventional cell measures 4.596, 4.596 and 3.418 Å, with angles of 90.00, 90.00 and 90.00 degrees. Symmetry generates all atoms from Hf at (0.000, 0.000, 0.000), Co at (0.500, 0.500, 0.500), S at (0.000, 0.500, 0.500) and N at (0.500, 0.500, 0.000).


Tb5NdHo7: relaxed, PBE.

The calculated formation energy is 3.2 eV per formula unit. The value obtained for the energy above the most stable polymorph in this dataset is 0.0 kJ/mol of atoms.

The space group is Imm2 (No. 44) and the conventional cell measures 6.668, 11.082 and 11.560 Å, with angles of 90.00, 90.00 and 90.00 degrees. Symmetry generates all atoms from Tb at (0.000, 0.000, 0.000), Tb at (0.233, 0.271, 0.997), Nd at (0.000, 0.500, 0.198), Ho at (0.000, 0.000, 0.496), Ho at (0.000, 0.169, 0.249), Ho at (0.000, 0.169, 0.748), Ho at (0.000, 0.500, 0.502) and Ho at (0.000, 0.500, 0.806).


Tm2Ni3P4Ir: relaxed, PBE.

The calculated formation energy is -9.4 eV per formula unit.

The space group is P-4m2 (No. 115) and the conventional cell measures 3.994, 3.994 and 9.163 Å, with angles of 90.00, 90.00 and 90.00 degrees. Symmetry generates all atoms from Tm at (0.000, 0.500, 0.240), Ni at (0.000, 0.500, 0.883), Ni at (0.500, 0.500, 0.500), P at (0.000, 0.000, 0.000), P at (0.000, 0.500, 0.640), P at (0.500, 0.500, 0.000) and Ir at (0.000, 0.000, 0.500).


Pm5Nd6Sm: relaxed, PBE.

The calculated formation energy is 0.1 eV per formula unit.

The space group is P-1 (No. 2) and the conventional cell measures 5.184, 9.676 and 9.687 Å, with angles of 64.68, 74.56 and 74.50 degrees. Symmetry generates all atoms from Pm at (0.000, 0.000, 0.000), Pm at (0.333, 0.167, 0.167), Pm at (0.334, 0.666, 0.666), Nd at (0.167, 0.084, 0.583), Nd at (0.167, 0.583, 0.084), Nd at (0.500, 0.250, 0.750) and Sm at (0.000, 0.500, 0.500).


B6N6Cl: relaxed, PBE.

The value obtained for the uncorrected formation energy is -0.425 eV/atom.

The space group is Pm-3 (No. 200) and the conventional cell measures 4.573, 4.573 and 4.573 Å, with angles of 90.00, 90.00 and 90.00 degrees. Symmetry generates all atoms from B at (0.000, 0.249, 0.500), N at (0.000, 0.500, 0.254) and Cl at (0.000, 0.000, 0.000).


Pr2Ga3Pd5: relaxed, PBE.

The calculated formation energy is -7.8 eV per formula unit. The value obtained for the energy above the most stable polymorph in this dataset is 0.0 kJ/mol of atoms.

The space group is Ibam (No. 72) and the conventional cell measures 10.854, 12.126 and 5.904 Å, with angles of 90.00, 90.00 and 90.00 degrees. Symmetry generates all atoms from Pr at (0.224, 0.138, 0.000), Ga at (0.000, 0.500, 0.250), Ga at (0.101, 0.143, 0.500), Pd at (0.000, 0.000, 0.250), Pd at (0.000, 0.285, 0.250) and Pd at (0.174, 0.406, 0.000).